K7TeO2 GGA-PBE relaxed; E_form (uncorrected) = -7.85 eV/f.u.; VASP energy = -2.859 eV per atom
1.0
4.936 0.000 0.000
0.000 4.936 0.000
-2.468 -2.468 12.395
O K Te
2 7 1
Direct
0.675 0.675 0.349 O
0.325 0.325 0.651 O
0.250 0.750 0.500 K
0.380 0.880 0.760 K
0.500 0.500 0.000 K
0.750 0.250 0.500 K
0.120 0.620 0.240 K
0.880 0.380 0.760 K
0.620 0.120 0.240 K
0.000 0.000 0.000 Te